(1)
A PBEsol-optimized structure of InSbMo4. Source: Alexandria via LeMat-Bulk, functional SCAN.

a b c (Å): 5.299 5.299 5.299
angles (deg): 60.00 60.00 60.00
Fractional coordinates of all 6 atoms:
In  0.000  0.000  0.000
Mo  0.375  0.375  0.375
Mo  0.375  0.375  0.876
Mo  0.876  0.375  0.375
Mo  0.375  0.876  0.375
Sb  0.750  0.750  0.750

Results
Magnetic moment (μB per cell): 0.00
N(E_F) (states/eV/f.u.): 3.8
ΔE_f (raw) (kJ/mol of formula units): 258
Theoretical density (Mg/m³): 9.79
Calculated total energy (eV/atom): -34.586


(2)
A PBEsol-optimized structure of Hf2Ga2Ru. Source: Alexandria via LeMat-Bulk, functional SCAN.

a b c (Å): 3.758 6.641 6.641
angles (deg): 90.00 90.00 90.00
Fractional coordinates of all 10 atoms:
Ru  0.000  0.000  0.000
Ru  0.000  0.500  0.500
Hf  0.500  0.173  0.673
Hf  0.500  0.673  0.827
Hf  0.500  0.827  0.327
Hf  0.500  0.327  0.173
Ga  0.000  0.369  0.869
Ga  0.000  0.869  0.631
Ga  0.000  0.631  0.131
Ga  0.000  0.131  0.369

Results
Magnetic moment (μB per cell): 0.00
N(E_F) (states/eV/f.u.): 2.1
Theoretical density (Mg/m³): 11.97
DFT formation energy (meV/atom): -669
Calculated total energy (eV/atom): -39.242


Q: Which of these has the lowest theoretical density?
A: InSbMo4